## MgBrO2F (PBE)

Data for an optimized crystal structure of MgBrO2F.

Properties
DFT total energy = -16.5 eV/f.u.
Mass density = 3.289 g/cm3

Cell lengths 3.848, 3.848, 5.293 Å; angles 90.00, 90.00, 90.00 degrees
Sites, in units of the cell vectors:
Mg: 0.000 0.000 0.000
Br: 0.500 0.500 0.500
O: 0.000 0.500 0.500
O: 0.500 0.000 0.500
F: 0.500 0.500 0.000


## MgPBr2F (PBE)

Data for an optimized crystal structure of MgPBr2F.

Properties
DFT total energy = -12.3 eV/f.u.
Mass density = 2.932 g/cm3

Cell lengths 5.050, 5.050, 5.197 Å; angles 90.00, 90.00, 90.00 degrees
Sites, in units of the cell vectors:
Mg: 0.000 0.000 0.000
P: 0.000 0.000 0.500
Br: 0.000 0.500 0.000
Br: 0.500 0.000 0.000
F: 0.500 0.500 0.500


## Rb2MgBr2F2 (PBE)

Data for an optimized crystal structure of Rb2MgBr2F2.

Properties
DFT total energy = -26.9 eV/f.u.
Mass density = 3.784 g/cm3

Cell lengths 8.997, 8.997, 8.997 Å; angles 150.84, 150.84, 41.71 degrees
Sites, in units of the cell vectors:
Rb: 0.121 0.121 0.000
Rb: 0.879 0.879 0.000
Mg: 0.500 0.500 0.000
Br: 0.342 0.342 0.000
Br: 0.658 0.658 0.000
F: 0.000 0.500 0.500
F: 0.500 0.000 0.500


## RbMgBrF2 (PBE)

Data for an optimized crystal structure of RbMgBrF2.

Properties
DFT total energy = -20.8 eV/f.u.
Distance to the lowest polymorph of the same formula = 0 meV per atom
Mass density = 3.492 g/cm3

Cell lengths 7.051, 7.051, 7.893 Å; angles 90.00, 90.00, 146.51 degrees
Sites, in units of the cell vectors:
Rb: 0.229 0.771 0.750
Rb: 0.771 0.229 0.250
Mg: 0.500 0.500 0.000
Mg: 0.500 0.500 0.500
Br: 0.034 0.966 0.250
Br: 0.966 0.034 0.750
F: 0.364 0.636 0.041
F: 0.364 0.636 0.459
F: 0.636 0.364 0.541
F: 0.636 0.364 0.959


| no. | formation energy (no corrections) (eV per atom) |
| --- | --- |
| 1 | -0.297 |
| 2 | -0.010 |
| 3 | -2.324 |
| 4 | -2.574 |